(1)
! ThAgB, optimized geometry, DFT PBE-GGA; values from VASP
&SYSTEM
  ibrav = 0, nat = 3, ntyp = 3
/
ATOMIC_SPECIES
Th 232.04 Th.upf
Ag 107.87 Ag.upf
B 10.81 B.upf
ATOMIC_POSITIONS angstrom
Th 0.000 0.000 0.000
Ag 4.826 4.826 4.826
B 3.217 3.217 3.217
CELL_PARAMETERS angstrom
0.000 3.217 3.217
3.217 0.000 3.217
3.217 3.217 0.000
! Size of the total moment (μB/f.u.): 0.001
! SG: F-43m (216)
! Polymorph energy (0 for the lowest one) (meV per atom): 645
! Total DFT energy (no corrections) (eV per atom): -4.937

=====

(2)
! ThAgB, optimized geometry, DFT PBE-GGA; values from VASP
&SYSTEM
  ibrav = 0, nat = 3, ntyp = 3
/
ATOMIC_SPECIES
Th 232.04 Th.upf
Ag 107.87 Ag.upf
B 10.81 B.upf
ATOMIC_POSITIONS angstrom
Th 0.000 0.000 0.000
Ag 3.127 3.127 3.127
B 4.690 4.690 4.690
CELL_PARAMETERS angstrom
0.000 3.127 3.127
3.127 0.000 3.127
3.127 3.127 0.000
! Size of the total moment (μB/f.u.): 0.001
! SG: F-43m (216)
! Polymorph energy (0 for the lowest one) (meV per atom): 0
! Total DFT energy (no corrections) (eV per atom): -5.582

=====

(3)
! TlAg2B2, optimized geometry, DFT PBE-GGA; values from VASP
&SYSTEM
  ibrav = 0, nat = 10, ntyp = 3
/
ATOMIC_SPECIES
Tl 204.38 Tl.upf
Ag 107.87 Ag.upf
B 10.81 B.upf
ATOMIC_POSITIONS angstrom
Tl 0.000 0.000 0.000
Tl 2.866 3.393 1.066
Ag 8.322 5.802 1.525
Ag 5.456 4.376 2.591
Ag 3.142 7.769 1.525
Ag 6.008 9.195 2.591
B 7.829 8.015 1.646
B 10.695 8.949 2.712
B 3.635 5.556 1.646
B 6.501 11.407 2.712
CELL_PARAMETERS angstrom
0.000 6.785 2.132
5.732 0.000 2.132
5.732 6.785 0.000
! SG: Fdd2 (43)
! Total DFT energy (no corrections) (eV per atom): -3.218

=====

(4)
! TlAgB4, optimized geometry, DFT PBE-GGA; values from VASP
&SYSTEM
  ibrav = 0, nat = 6, ntyp = 3
/
ATOMIC_SPECIES
Tl 204.38 Tl.upf
Ag 107.87 Ag.upf
B 10.81 B.upf
ATOMIC_POSITIONS angstrom
Tl 0.000 0.000 0.000
Ag 0.000 0.000 4.637
B 0.000 1.763 2.663
B 0.000 1.763 6.611
B 1.527 0.882 2.663
B 1.527 0.882 6.611
CELL_PARAMETERS angstrom
3.054 0.000 0.000
-1.527 2.645 0.000
0.000 0.000 9.274
! SG: P6/mmm (191)
! Polymorph energy (0 for the lowest one) (meV per atom): 0
! Total DFT energy (no corrections) (eV per atom): -4.718

=====

(5)
! TlAgB4, optimized geometry, DFT PBE-GGA; values from VASP
&SYSTEM
  ibrav = 0, nat = 6, ntyp = 3
/
ATOMIC_SPECIES
Tl 204.38 Tl.upf
Ag 107.87 Ag.upf
B 10.81 B.upf
ATOMIC_POSITIONS angstrom
Tl 0.000 0.000 0.000
Ag 0.000 0.000 4.589
B 1.529 -0.884 2.330
B 1.529 0.884 2.330
B 0.000 1.737 2.259
B 0.000 3.506 2.259
CELL_PARAMETERS angstrom
-1.529 2.622 4.589
1.529 -2.622 4.589
1.529 2.622 -4.589
! SG: Immm (71)
! Polymorph energy (0 for the lowest one) (meV per atom): 70
! Total DFT energy (no corrections) (eV per atom): -4.648

=====

(6)
! TmAgB4, optimized geometry, DFT PBE-GGA; values from VASP
&SYSTEM
  ibrav = 0, nat = 6, ntyp = 3
/
ATOMIC_SPECIES
Tm 168.93 Tm.upf
Ag 107.87 Ag.upf
B 10.81 B.upf
ATOMIC_POSITIONS angstrom
Tm 0.000 0.000 0.000
Ag 0.000 0.000 3.869
B 1.580 -0.969 1.842
B 1.580 0.969 1.842
B 0.000 1.726 2.027
B 0.000 3.663 2.027
CELL_PARAMETERS angstrom
-1.580 2.695 3.869
1.580 -2.695 3.869
1.580 2.695 -3.869
! Size of the total moment (μB/f.u.): 0.000
! SG: Immm (71)
! Polymorph energy (0 for the lowest one) (meV per atom): 0
! Total DFT energy (no corrections) (eV per atom): -5.775

=====

(7)
! TmAgB4, optimized geometry, DFT PBE-GGA; values from VASP
&SYSTEM
  ibrav = 0, nat = 6, ntyp = 3
/
ATOMIC_SPECIES
Tm 168.93 Tm.upf
Ag 107.87 Ag.upf
B 10.81 B.upf
ATOMIC_POSITIONS angstrom
Tm 0.000 0.000 0.000
Ag 0.000 0.000 3.616
B 0.000 1.851 1.800
B 0.000 1.851 5.433
B 1.603 0.925 1.800
B 1.603 0.925 5.433
CELL_PARAMETERS angstrom
3.205 0.000 0.000
-1.603 2.776 0.000
0.000 0.000 7.233
! Size of the total moment (μB/f.u.): 0.003
! SG: P6/mmm (191)
! Polymorph energy (0 for the lowest one) (meV per atom): 60
! Total DFT energy (no corrections) (eV per atom): -5.716

=====

(8)
! UAgB, optimized geometry, DFT PBE-GGA; values from VASP
&SYSTEM
  ibrav = 0, nat = 3, ntyp = 3
/
ATOMIC_SPECIES
U 238.03 U.upf
Ag 107.87 Ag.upf
B 10.81 B.upf
ATOMIC_POSITIONS angstrom
U 0.000 0.000 0.000
Ag 4.656 4.656 4.656
B 3.104 3.104 3.104
CELL_PARAMETERS angstrom
0.000 3.104 3.104
3.104 0.000 3.104
3.104 3.104 0.000
! Size of the total moment (μB/f.u.): 2.007
! SG: F-43m (216)
! Polymorph energy (0 for the lowest one) (meV per atom): 721
! Total DFT energy (no corrections) (eV per atom): -5.654

=====

(9)
! UAgB, optimized geometry, DFT PBE-GGA; values from VASP
&SYSTEM
  ibrav = 0, nat = 3, ntyp = 3
/
ATOMIC_SPECIES
U 238.03 U.upf
Ag 107.87 Ag.upf
B 10.81 B.upf
ATOMIC_POSITIONS angstrom
U 0.000 0.000 0.000
Ag 4.791 4.791 4.791
B 1.597 1.597 1.597
CELL_PARAMETERS angstrom
0.000 3.194 3.194
3.194 0.000 3.194
3.194 3.194 0.000
! Size of the total moment (μB/f.u.): 2.251
! SG: F-43m (216)
! Polymorph energy (0 for the lowest one) (meV per atom): 838
! Total DFT energy (no corrections) (eV per atom): -5.537

=====

(10)
! UAgB, optimized geometry, DFT PBE-GGA; values from VASP
&SYSTEM
  ibrav = 0, nat = 3, ntyp = 3
/
ATOMIC_SPECIES
U 238.03 U.upf
Ag 107.87 Ag.upf
B 10.81 B.upf
ATOMIC_POSITIONS angstrom
U 0.000 0.000 0.000
Ag 3.026 3.026 3.026
B 4.539 4.539 4.539
CELL_PARAMETERS angstrom
0.000 3.026 3.026
3.026 0.000 3.026
3.026 3.026 0.000
! Size of the total moment (μB/f.u.): 2.000
! SG: F-43m (216)
! Polymorph energy (0 for the lowest one) (meV per atom): 0
! Total DFT energy (no corrections) (eV per atom): -6.375

=====

(11)
! AgBW, optimized geometry, DFT PBE-GGA; values from VASP
&SYSTEM
  ibrav = 0, nat = 3, ntyp = 3
/
ATOMIC_SPECIES
Ag 107.87 Ag.upf
B 10.81 B.upf
W 183.84 W.upf
ATOMIC_POSITIONS angstrom
Ag 0.000 0.000 0.000
B 4.332 4.332 4.332
W 1.444 1.444 1.444
CELL_PARAMETERS angstrom
0.000 2.888 2.888
2.888 0.000 2.888
2.888 2.888 0.000
! Size of the total moment (μB/f.u.): 1.495
! SG: F-43m (216)
! Polymorph energy (0 for the lowest one) (meV per atom): 389
! Total DFT energy (no corrections) (eV per atom): -5.434

=====

(12)
! AgBW, optimized geometry, DFT PBE-GGA; values from VASP
&SYSTEM
  ibrav = 0, nat = 3, ntyp = 3
/
ATOMIC_SPECIES
Ag 107.87 Ag.upf
B 10.81 B.upf
W 183.84 W.upf
ATOMIC_POSITIONS angstrom
Ag 0.000 0.000 0.000
B 2.900 2.900 2.900
W 1.450 1.450 1.450
CELL_PARAMETERS angstrom
0.000 2.900 2.900
2.900 0.000 2.900
2.900 2.900 0.000
! Size of the total moment (μB/f.u.): 0.170
! SG: F-43m (216)
! Polymorph energy (0 for the lowest one) (meV per atom): 0
! Total DFT energy (no corrections) (eV per atom): -5.823

=====

(13)
! AgBW2, optimized geometry, DFT PBE-GGA; values from VASP
&SYSTEM
  ibrav = 0, nat = 4, ntyp = 3
/
ATOMIC_SPECIES
Ag 107.87 Ag.upf
B 10.81 B.upf
W 183.84 W.upf
ATOMIC_POSITIONS angstrom
Ag 0.000 0.000 0.000
B 4.626 4.626 4.626
W 1.542 1.542 1.542
W 3.084 3.084 3.084
CELL_PARAMETERS angstrom
0.000 3.084 3.084
3.084 0.000 3.084
3.084 3.084 0.000
! Size of the total moment (μB/f.u.): 0.001
! SG: F-43m (216)
! Total DFT energy (no corrections) (eV per atom): -7.649

=====

(14)
! AgB4W, optimized geometry, DFT PBE-GGA; values from VASP
&SYSTEM
  ibrav = 0, nat = 6, ntyp = 3
/
ATOMIC_SPECIES
Ag 107.87 Ag.upf
B 10.81 B.upf
W 183.84 W.upf
ATOMIC_POSITIONS angstrom
Ag 0.000 0.000 0.000
B 0.000 1.722 2.237
B 0.000 1.722 5.565
B 1.491 0.861 2.237
B 1.491 0.861 5.565
W 0.000 0.000 3.901
CELL_PARAMETERS angstrom
2.982 0.000 0.000
-1.491 2.583 0.000
0.000 0.000 7.803
! Size of the total moment (μB/f.u.): 0.007
! SG: P6/mmm (191)
! Polymorph energy (0 for the lowest one) (meV per atom): 0
! Total DFT energy (no corrections) (eV per atom): -7.004

=====

(15)
! Ag2BW, optimized geometry, DFT PBE-GGA; values from VASP
&SYSTEM
  ibrav = 0, nat = 4, ntyp = 3
/
ATOMIC_SPECIES
Ag 107.87 Ag.upf
B 10.81 B.upf
W 183.84 W.upf
ATOMIC_POSITIONS angstrom
Ag 0.000 0.000 0.000
Ag 1.536 1.536 1.536
B 3.072 3.072 3.072
W 4.608 4.608 4.608
CELL_PARAMETERS angstrom
0.000 3.072 3.072
3.072 0.000 3.072
3.072 3.072 0.000
! Size of the total moment (μB/f.u.): 0.010
! SG: F-43m (216)
! Total DFT energy (no corrections) (eV per atom): -5.134

=====

(16)
! AgB4W, optimized geometry, DFT PBE-GGA; values from VASP
&SYSTEM
  ibrav = 0, nat = 6, ntyp = 3
/
ATOMIC_SPECIES
Ag 107.87 Ag.upf
B 10.81 B.upf
W 183.84 W.upf
ATOMIC_POSITIONS angstrom
Ag 0.000 0.000 0.000
B 1.521 -0.885 1.858
B 1.521 0.885 1.858
B 0.000 1.748 1.727
B 0.000 3.518 1.727
W 0.000 0.000 3.585
CELL_PARAMETERS angstrom
-1.521 2.633 3.585
1.521 -2.633 3.585
1.521 2.633 -3.585
! Size of the total moment (μB/f.u.): 0.371
! SG: Immm (71)
! Polymorph energy (0 for the lowest one) (meV per atom): 267
! Total DFT energy (no corrections) (eV per atom): -6.736

=====

(17)
! YAgB, optimized geometry, DFT PBE-GGA; values from VASP
&SYSTEM
  ibrav = 0, nat = 3, ntyp = 3
/
ATOMIC_SPECIES
Y 88.91 Y.upf
Ag 107.87 Ag.upf
B 10.81 B.upf
ATOMIC_POSITIONS angstrom
Y 0.000 0.000 0.000
Ag 1.600 1.600 1.600
B 4.800 4.800 4.800
CELL_PARAMETERS angstrom
0.000 3.200 3.200
3.200 0.000 3.200
3.200 3.200 0.000
! Size of the total moment (μB/f.u.): 0.015
! SG: F-43m (216)
! Polymorph energy (0 for the lowest one) (meV per atom): 240
! Total DFT energy (no corrections) (eV per atom): -4.442

=====

(18)
! YAgB, optimized geometry, DFT PBE-GGA; values from VASP
&SYSTEM
  ibrav = 0, nat = 3, ntyp = 3
/
ATOMIC_SPECIES
Y 88.91 Y.upf
Ag 107.87 Ag.upf
B 10.81 B.upf
ATOMIC_POSITIONS angstrom
Y 0.000 0.000 0.000
Ag 4.673 4.673 4.673
B 3.115 3.115 3.115
CELL_PARAMETERS angstrom
0.000 3.115 3.115
3.115 0.000 3.115
3.115 3.115 0.000
! Size of the total moment (μB/f.u.): 0.051
! SG: F-43m (216)
! Polymorph energy (0 for the lowest one) (meV per atom): 0
! Total DFT energy (no corrections) (eV per atom): -4.682

=====

(19)
! ZnAgB4, optimized geometry, DFT PBE-GGA; values from VASP
&SYSTEM
  ibrav = 0, nat = 6, ntyp = 3
/
ATOMIC_SPECIES
Zn 65.41 Zn.upf
Ag 107.87 Ag.upf
B 10.81 B.upf
ATOMIC_POSITIONS angstrom
Zn 0.000 0.000 0.000
Ag 0.000 0.000 3.714
B 1.513 -0.879 1.812
B 1.513 0.879 1.812
B 0.000 1.770 1.902
B 0.000 3.528 1.902
CELL_PARAMETERS angstrom
-1.513 2.649 3.714
1.513 -2.649 3.714
1.513 2.649 -3.714
! SG: Immm (71)
! Polymorph energy (0 for the lowest one) (meV per atom): 39
! Total DFT energy (no corrections) (eV per atom): -4.684

=====

(20)
! ZnAgB4, optimized geometry, DFT PBE-GGA; values from VASP
&SYSTEM
  ibrav = 0, nat = 6, ntyp = 3
/
ATOMIC_SPECIES
Zn 65.41 Zn.upf
Ag 107.87 Ag.upf
B 10.81 B.upf
ATOMIC_POSITIONS angstrom
Zn 0.000 0.000 0.000
Ag 0.000 0.000 3.694
B 0.000 1.756 1.676
B 0.000 1.756 5.711
B 1.521 0.878 1.676
B 1.521 0.878 5.711
CELL_PARAMETERS angstrom
3.042 0.000 0.000
-1.521 2.634 0.000
0.000 0.000 7.387
! SG: P6/mmm (191)
! Polymorph energy (0 for the lowest one) (meV per atom): 0
! Total DFT energy (no corrections) (eV per atom): -4.723

=====

(21)
! ZnAgB, optimized geometry, DFT PBE-GGA; values from VASP
&SYSTEM
  ibrav = 0, nat = 3, ntyp = 3
/
ATOMIC_SPECIES
Zn 65.41 Zn.upf
Ag 107.87 Ag.upf
B 10.81 B.upf
ATOMIC_POSITIONS angstrom
Zn 0.000 0.000 0.000
Ag 4.272 4.272 4.272
B 2.848 2.848 2.848
CELL_PARAMETERS angstrom
0.000 2.848 2.848
2.848 0.000 2.848
2.848 2.848 0.000
! SG: F-43m (216)
! Total DFT energy (no corrections) (eV per atom): -2.572

=====

(22)
! ZnAgB2, optimized geometry, DFT PBE-GGA; values from VASP
&SYSTEM
  ibrav = 0, nat = 4, ntyp = 3
/
ATOMIC_SPECIES
Zn 65.41 Zn.upf
Ag 107.87 Ag.upf
B 10.81 B.upf
ATOMIC_POSITIONS angstrom
Zn 0.000 0.000 0.000
Ag 4.353 4.353 4.353
B 1.451 1.451 1.451
B 2.902 2.902 2.902
CELL_PARAMETERS angstrom
0.000 2.902 2.902
2.902 0.000 2.902
2.902 2.902 0.000
! SG: F-43m (216)
! Total DFT energy (no corrections) (eV per atom): -2.860

=====

(23)
! ZrAg2B, optimized geometry, DFT PBE-GGA; values from VASP
&SYSTEM
  ibrav = 0, nat = 4, ntyp = 3
/
ATOMIC_SPECIES
Zr 91.22 Zr.upf
Ag 107.87 Ag.upf
B 10.81 B.upf
ATOMIC_POSITIONS angstrom
Zr 0.000 0.000 0.000
Ag 1.588 1.588 1.588
Ag 3.176 3.176 3.176
B 4.765 4.765 4.765
CELL_PARAMETERS angstrom
0.000 3.176 3.176
3.176 0.000 3.176
3.176 3.176 0.000
! Size of the total moment (μB/f.u.): 0.002
! SG: F-43m (216)
! Total DFT energy (no corrections) (eV per atom): -4.827

=====

(24)
! Zr2AgB, optimized geometry, DFT PBE-GGA; values from VASP
&SYSTEM
  ibrav = 0, nat = 4, ntyp = 3
/
ATOMIC_SPECIES
Zr 91.22 Zr.upf
Ag 107.87 Ag.upf
B 10.81 B.upf
ATOMIC_POSITIONS angstrom
Zr 0.000 0.000 0.000
Zr 1.646 1.646 1.646
Ag 4.938 4.938 4.938
B 3.292 3.292 3.292
CELL_PARAMETERS angstrom
0.000 3.292 3.292
3.292 0.000 3.292
3.292 3.292 0.000
! Size of the total moment (μB/f.u.): 2.754
! SG: F-43m (216)
! Total DFT energy (no corrections) (eV per atom): -5.774

=====

(25)
! BaAg2, optimized geometry, DFT PBE-GGA; values from VASP
&SYSTEM
  ibrav = 0, nat = 6, ntyp = 2
/
ATOMIC_SPECIES
Ba 137.33 Ba.upf
Ag 107.87 Ag.upf
ATOMIC_POSITIONS angstrom
Ba 1.069 1.069 1.069
Ba 7.484 7.484 7.484
Ag 4.277 2.138 2.138
Ag 2.138 4.277 2.138
Ag 2.138 2.138 4.277
Ag 4.277 4.277 4.277
CELL_PARAMETERS angstrom
0.000 4.277 4.277
4.277 0.000 4.277
4.277 4.277 0.000
! SG: Fd-3m (227)
! Total DFT energy (no corrections) (eV per atom): -2.695

=====

(26)
! BaAg, optimized geometry, DFT PBE-GGA; values from VASP
&SYSTEM
  ibrav = 0, nat = 2, ntyp = 2
/
ATOMIC_SPECIES
Ba 137.33 Ba.upf
Ag 107.87 Ag.upf
ATOMIC_POSITIONS angstrom
Ba 0.000 0.000 0.000
Ag 1.862 1.862 1.862
CELL_PARAMETERS angstrom
0.000 3.723 3.723
3.723 0.000 3.723
3.723 3.723 0.000
! SG: F-43m (216)
! Total DFT energy (no corrections) (eV per atom): -2.190

=====

(27)
! BaAg, optimized geometry, DFT PBE-GGA; values from VASP
&SYSTEM
  ibrav = 0, nat = 2, ntyp = 2
/
ATOMIC_SPECIES
Ba 137.33 Ba.upf
Ag 107.87 Ag.upf
ATOMIC_POSITIONS angstrom
Ba 0.000 0.000 0.000
Ag 0.000 2.483 2.321
CELL_PARAMETERS angstrom
4.301 0.000 0.000
-2.151 3.725 0.000
0.000 0.000 4.641
! SG: P-6m2 (187)
! Total DFT energy (no corrections) (eV per atom): -2.462

=====

(28)
! BaAg, optimized geometry, DFT PBE-GGA; values from VASP
&SYSTEM
  ibrav = 0, nat = 2, ntyp = 2
/
ATOMIC_SPECIES
Ba 137.33 Ba.upf
Ag 107.87 Ag.upf
ATOMIC_POSITIONS angstrom
Ba 0.000 0.000 0.000
Ag 3.423 3.423 3.423
CELL_PARAMETERS angstrom
0.000 3.423 3.423
3.423 0.000 3.423
3.423 3.423 0.000
! SG: Fm-3m (225)
! Total DFT energy (no corrections) (eV per atom): -2.554

=====

(29)
! BaBe2Ag, optimized geometry, DFT PBE-GGA; values from VASP
&SYSTEM
  ibrav = 0, nat = 4, ntyp = 3
/
ATOMIC_SPECIES
Ba 137.33 Ba.upf
Be 9.01 Be.upf
Ag 107.87 Ag.upf
ATOMIC_POSITIONS angstrom
Ba 0.000 0.000 0.000
Be 3.535 3.535 3.535
Be 5.303 5.303 5.303
Ag 1.768 1.768 1.768
CELL_PARAMETERS angstrom
0.000 3.535 3.535
3.535 0.000 3.535
3.535 3.535 0.000
! SG: F-43m (216)
! Total DFT energy (no corrections) (eV per atom): -2.279

=====

(30)
! Ba2Ag2Bi, optimized geometry, DFT PBE-GGA; values from VASP
&SYSTEM
  ibrav = 0, nat = 5, ntyp = 3
/
ATOMIC_SPECIES
Ba 137.33 Ba.upf
Ag 107.87 Ag.upf
Bi 208.98 Bi.upf
ATOMIC_POSITIONS angstrom
Ba 2.769 0.000 2.933
Ba 0.000 2.769 2.933
Ag 0.000 0.000 1.289
Ag 0.000 0.000 10.444
Bi 0.000 0.000 5.866
CELL_PARAMETERS angstrom
-2.769 2.769 5.866
2.769 -2.769 5.866
2.769 2.769 -5.866
! SG: I4/mmm (139)
! Total DFT energy (no corrections) (eV per atom): -2.798